This record from Alexandria via LeMat-Bulk describes Cs4Ho3HfS8 after structural relaxation. The functional is PBE-GGA.

a = 9.291 Å, b = 9.291 Å, c = 9.291 Å
α = 51.09°, β = 51.09°, γ = 51.09°
Element x y z (fractional)
Cs  0.000  0.000  0.000
Cs  0.000  0.500  0.500
Cs  0.500  0.000  0.500
Cs  0.500  0.500  0.000
Ho  0.000  0.000  0.500
Ho  0.000  0.500  0.000
Ho  0.500  0.000  0.000
Hf  0.500  0.500  0.500
S  0.228  0.228  0.228
S  0.242  0.718  0.718
S  0.282  0.282  0.758
S  0.282  0.758  0.282
S  0.718  0.242  0.718
S  0.718  0.718  0.242
S  0.758  0.282  0.282
S  0.772  0.772  0.772

SG: No. 166
ρ, Mg/m³: 5.42
Fermi-level density of states, states/eV per atom: 0.27
Raw total energy, eV/atom: -5.466
Formation energy without anion corrections, eV/atom: -1.71


This record from Alexandria via LeMat-Bulk describes Cs2Ho2HfS6 after structural relaxation. The functional is PBE-GGA.

a = 6.785 Å, b = 6.785 Å, c = 8.572 Å
α = 97.89°, β = 97.89°, γ = 119.72°
Element x y z (fractional)
Cs  0.169  0.831  0.000
Cs  0.831  0.169  0.000
Ho  0.333  0.667  0.500
Ho  0.667  0.333  0.500
Hf  0.000  0.000  0.500
S  0.061  0.376  0.676
S  0.255  0.255  0.326
S  0.376  0.061  0.676
S  0.624  0.939  0.324
S  0.745  0.745  0.674
S  0.939  0.624  0.324

SG: No. 12
ρ, Mg/m³: 4.87
Fermi-level density of states, states/eV per atom: 0.00
Raw total energy, eV/atom: -5.954
Formation energy without anion corrections, eV/atom: -1.81


This record from Alexandria via LeMat-Bulk describes Cs3Ho3HfSe8 after structural relaxation. The functional is PBE-GGA.

a = 9.782 Å, b = 9.782 Å, c = 9.782 Å
α = 49.92°, β = 49.92°, γ = 49.92°
Element x y z (fractional)
Cs  0.000  0.500  0.500
Cs  0.500  0.000  0.500
Cs  0.500  0.500  0.000
Ho  0.000  0.000  0.500
Ho  0.000  0.500  0.000
Ho  0.500  0.000  0.000
Hf  0.500  0.500  0.500
Se  0.228  0.228  0.228
Se  0.243  0.718  0.718
Se  0.282  0.282  0.757
Se  0.282  0.757  0.282
Se  0.718  0.243  0.718
Se  0.718  0.718  0.243
Se  0.757  0.282  0.282
Se  0.772  0.772  0.772

SG: No. 166
ρ, Mg/m³: 5.61
Raw total energy, eV/atom: -5.274
Formation energy without anion corrections, eV/atom: -1.67


This record from Alexandria via LeMat-Bulk describes Cs4Ho3HfSe8 after structural relaxation. The functional is PBE-GGA.

a = 9.659 Å, b = 9.659 Å, c = 9.659 Å
α = 51.13°, β = 51.13°, γ = 51.13°
Element x y z (fractional)
Cs  0.000  0.000  0.000
Cs  0.000  0.500  0.500
Cs  0.500  0.000  0.500
Cs  0.500  0.500  0.000
Ho  0.000  0.000  0.500
Ho  0.000  0.500  0.000
Ho  0.500  0.000  0.000
Hf  0.500  0.500  0.500
Se  0.229  0.229  0.229
Se  0.242  0.720  0.720
Se  0.280  0.280  0.758
Se  0.280  0.758  0.280
Se  0.720  0.242  0.720
Se  0.720  0.720  0.242
Se  0.758  0.280  0.280
Se  0.771  0.771  0.771

SG: No. 166
ρ, Mg/m³: 6.05
Fermi-level density of states, states/eV per atom: 0.30
Raw total energy, eV/atom: -5.019
Formation energy without anion corrections, eV/atom: -1.58


This record from Alexandria via LeMat-Bulk describes Cs3Ho2HfSe6 after structural relaxation. The functional is PBE-GGA.

a = 7.168 Å, b = 7.168 Å, c = 8.714 Å
α = 97.89°, β = 97.89°, γ = 119.99°
Element x y z (fractional)
Cs  0.000  0.000  0.000
Cs  0.330  0.670  0.000
Cs  0.670  0.330  0.000
Ho  0.166  0.834  0.500
Ho  0.834  0.166  0.500
Hf  0.500  0.500  0.500
Se  0.121  0.439  0.317
Se  0.244  0.244  0.685
Se  0.439  0.121  0.317
Se  0.561  0.879  0.683
Se  0.756  0.756  0.315
Se  0.879  0.561  0.683

SG: No. 12
ρ, Mg/m³: 6.15
Fermi-level density of states, states/eV per atom: 0.32
Raw total energy, eV/atom: -5.088
Formation energy without anion corrections, eV/atom: -1.54


This record from Alexandria via LeMat-Bulk describes Cs4Ho3HfTe8 after structural relaxation. The functional is PBE-GGA.

a = 10.306 Å, b = 10.306 Å, c = 10.306 Å
α = 51.20°, β = 51.20°, γ = 51.20°
Element x y z (fractional)
Cs  0.000  0.000  0.000
Cs  0.000  0.500  0.500
Cs  0.500  0.000  0.500
Cs  0.500  0.500  0.000
Ho  0.000  0.000  0.500
Ho  0.000  0.500  0.000
Ho  0.500  0.000  0.000
Hf  0.500  0.500  0.500
Te  0.230  0.230  0.230
Te  0.242  0.722  0.722
Te  0.278  0.278  0.758
Te  0.278  0.758  0.278
Te  0.722  0.242  0.722
Te  0.722  0.722  0.242
Te  0.758  0.278  0.278
Te  0.770  0.770  0.770

SG: No. 166
ρ, Mg/m³: 6.02
Fermi-level density of states, states/eV per atom: 0.33
Raw total energy, eV/atom: -4.496
Formation energy without anion corrections, eV/atom: -1.23


This record from Alexandria via LeMat-Bulk describes Cs3Ho2HfTe6 after structural relaxation. The functional is PBE-GGA.

a = 7.660 Å, b = 7.660 Å, c = 9.297 Å
α = 97.90°, β = 97.90°, γ = 120.00°
Element x y z (fractional)
Cs  0.000  0.000  0.000
Cs  0.329  0.671  0.000
Cs  0.671  0.329  0.000
Ho  0.166  0.834  0.500
Ho  0.834  0.166  0.500
Hf  0.500  0.500  0.500
Te  0.119  0.438  0.313
Te  0.244  0.244  0.689
Te  0.438  0.119  0.313
Te  0.562  0.881  0.687
Te  0.756  0.756  0.311
Te  0.881  0.562  0.687

SG: No. 12
ρ, Mg/m³: 6.11
Fermi-level density of states, states/eV per atom: 0.38
Raw total energy, eV/atom: -4.562
Formation energy without anion corrections, eV/atom: -1.19


This record from Alexandria via LeMat-Bulk describes Cs2HfI after structural relaxation. The functional is PBE-GGA.

a = 6.737 Å, b = 6.737 Å, c = 6.737 Å
α = 60.00°, β = 60.00°, γ = 60.00°
Element x y z (fractional)
Cs  0.250  0.250  0.250
Cs  0.750  0.750  0.750
Hf  0.000  0.000  0.000
I  0.500  0.500  0.500

SG: No. 225
ρ, Mg/m³: 4.39
Fermi-level density of states, states/eV per atom: 0.65
Raw total energy, eV/atom: -2.713
Formation energy without anion corrections, eV/atom: 0.59
ΔE to the lowest computed polymorph, meV/atom: 0


This record from Alexandria via LeMat-Bulk describes Cs2HfI after structural relaxation. The functional is PBE-GGA.

a = 8.411 Å, b = 8.411 Å, c = 8.411 Å
α = 102.33°, β = 102.33°, γ = 124.95°
Element x y z (fractional)
Cs  0.102  0.625  0.977
Cs  0.375  0.352  0.477
Cs  0.648  0.125  0.023
Cs  0.875  0.898  0.523
Hf  0.250  0.750  0.500
Hf  0.500  0.500  0.000
I  0.000  0.000  0.000
I  0.750  0.250  0.500

SG: No. 122
ρ, Mg/m³: 4.39
Fermi-level density of states, states/eV per atom: 1.21
Raw total energy, eV/atom: -2.697
Formation energy without anion corrections, eV/atom: 0.61
ΔE to the lowest computed polymorph, meV/atom: 16


This record from Alexandria via LeMat-Bulk describes Cs2HfI5 after structural relaxation. The functional is PBE-GGA.

a = 8.266 Å, b = 8.266 Å, c = 8.266 Å
α = 113.60°, β = 113.60°, γ = 101.50°
Element x y z (fractional)
Cs  0.000  0.500  0.500
Cs  0.500  0.000  0.500
Hf  0.317  0.317  0.000
I  0.033  0.033  0.564
I  0.033  0.469  0.000
I  0.469  0.033  0.000
I  0.469  0.469  0.436
I  0.574  0.574  0.000

SG: No. 107
ρ, Mg/m³: 4.18
Fermi-level density of states, states/eV per atom: 0.25
Raw total energy, eV/atom: -3.534
Formation energy without anion corrections, eV/atom: -1.11


This record from Alexandria via LeMat-Bulk describes Cs2HfI7 after structural relaxation. The functional is PBE-GGA.

a = 9.073 Å, b = 9.073 Å, c = 9.073 Å
α = 116.80°, β = 116.80°, γ = 95.63°
Element x y z (fractional)
Cs  0.250  0.750  0.500
Cs  0.750  0.250  0.500
Hf  0.000  0.000  0.000
I  0.212  0.212  0.424
I  0.212  0.788  0.000
I  0.237  0.237  0.000
I  0.500  0.500  0.000
I  0.763  0.763  0.000
I  0.788  0.212  0.000
I  0.788  0.788  0.576

SG: No. 139
ρ, Mg/m³: 4.02
Fermi-level density of states, states/eV per atom: 0.30
Raw total energy, eV/atom: -3.231
Formation energy without anion corrections, eV/atom: -0.98


This record from Alexandria via LeMat-Bulk describes CsHfI6 after structural relaxation. The functional is PBE-GGA.

a = 8.675 Å, b = 8.675 Å, c = 8.675 Å
α = 55.56°, β = 55.56°, γ = 55.56°
Element x y z (fractional)
Cs  0.000  0.000  0.000
Hf  0.500  0.500  0.500
I  0.094  0.591  0.591
I  0.409  0.409  0.906
I  0.409  0.906  0.409
I  0.591  0.094  0.591
I  0.591  0.591  0.094
I  0.906  0.409  0.409

SG: No. 166
ρ, Mg/m³: 4.30
Fermi-level density of states, states/eV per atom: 1.41
Raw total energy, eV/atom: -3.393
Formation energy without anion corrections, eV/atom: -0.88


> What is the ρ in the eleventh record?

4.02 Mg/m³


> The lowest formation energy without anion corrections belongs to which entry?

Cs2Ho2HfS6


> ρ of number 4 (Cs4Ho3HfSe8)?

6.05 Mg/m³


> Number 1 is which compound?

Cs4Ho3HfS8